# KAsPt2 (meta-GGA SCAN, single point on PBEsol structure)
# Calculated formation energy, meV/atom: 292
# Calculated density, g cm⁻³: 11.85
# Magnetization, μB/f.u.: 0.000
# Uncorrected energy, eV per atom: -41.9349
data_KAsPt2
_space_group_name_H-M_alt 'P 4/m m m'
_space_group_IT_number 123
_space_group_name_Hall '-P 4 2'
_cell_length_a 4.1700
_cell_length_b 4.1700
_cell_length_c 4.0616
_cell_angle_alpha 90.00
_cell_angle_beta 90.00
_cell_angle_gamma 90.00
loop_
_atom_site_label
_atom_site_fract_x
_atom_site_fract_y
_atom_site_fract_z
K1 0.0000 0.0000 0.0000
As1 0.5000 0.5000 0.0000
Pt1 0.0000 0.5000 0.5000

***

# CrGaBr3 (meta-GGA SCAN, single point on PBEsol structure)
# Calculated density, g cm⁻³: 4.57
# Magnetization, μB/f.u.: 4.000
# Formation energy without anion corrections, eV per atom: -0.690
# Uncorrected energy, eV per atom: -19.3114
data_CrGaBr3
_space_group_name_H-M_alt 'P m -3 m'
_space_group_IT_number 221
_space_group_name_Hall '-P 4 2 3'
_cell_length_a 5.0844
_cell_length_b 5.0844
_cell_length_c 5.0844
_cell_angle_alpha 90.00
_cell_angle_beta 90.00
_cell_angle_gamma 90.00
loop_
_atom_site_label
_atom_site_fract_x
_atom_site_fract_y
_atom_site_fract_z
Cr1 0.0000 0.0000 0.0000
Ga1 0.5000 0.5000 0.5000
Br1 0.0000 0.0000 0.5000

***

# Be3ReH (meta-GGA SCAN, single point on PBEsol structure)
# Calculated density, g cm⁻³: 8.91
# Magnetization, μB/f.u.: 0.000
# Uncorrected energy, eV per atom: -17.5560
data_Be3ReH
_space_group_name_H-M_alt 'P m -3 m'
_space_group_IT_number 221
_space_group_name_Hall '-P 4 2 3'
_cell_length_a 3.4174
_cell_length_b 3.4174
_cell_length_c 3.4174
_cell_angle_alpha 90.00
_cell_angle_beta 90.00
_cell_angle_gamma 90.00
loop_
_atom_site_label
_atom_site_fract_x
_atom_site_fract_y
_atom_site_fract_z
Be1 0.0000 0.0000 0.5000
Re1 0.5000 0.5000 0.5000
H1 0.0000 0.0000 0.0000

***

# HgRu2Cl (meta-GGA SCAN, single point on PBEsol structure)
# Calculated density, g cm⁻³: 10.83
# Magnetization, μB/f.u.: 0.000
# Formation energy without anion corrections, eV per atom: 0.237
# Uncorrected energy, eV per atom: -36.2124
data_HgRu2Cl
_space_group_name_H-M_alt 'P 4 m m'
_space_group_IT_number 99
_space_group_name_Hall 'P 4 -2'
_cell_length_a 2.8453
_cell_length_b 2.8453
_cell_length_c 8.2979
_cell_angle_alpha 90.00
_cell_angle_beta 90.00
_cell_angle_gamma 90.00
loop_
_atom_site_label
_atom_site_fract_x
_atom_site_fract_y
_atom_site_fract_z
Hg1 0.0000 0.0000 0.0000
Ru1 0.0000 0.0000 0.4427
Ru2 0.5000 0.5000 0.2511
Cl1 0.5000 0.5000 0.6460

***

# LiTl2 (meta-GGA SCAN, single point on PBEsol structure)
# Calculated formation energy, meV/atom: -146
# Calculated density, g cm⁻³: 9.76
# Magnetization, μB/f.u.: 0.000
# Uncorrected energy, eV per atom: -49.1820
data_LiTl2
_space_group_name_H-M_alt 'P -6 2 m'
_space_group_IT_number 189
_space_group_name_Hall 'P -6 -2'
_cell_length_a 7.3696
_cell_length_b 7.3696
_cell_length_c 4.5133
_cell_angle_alpha 90.00
_cell_angle_beta 90.00
_cell_angle_gamma 120.00
loop_
_atom_site_label
_atom_site_fract_x
_atom_site_fract_y
_atom_site_fract_z
Li1 0.0000 0.0000 0.0000
Li2 0.3333 0.6667 0.5000
Tl1 0.0000 0.2514 0.5000
Tl2 0.0000 0.5844 0.0000

***

# CsK2SrHf (meta-GGA SCAN, single point on PBEsol structure)
# Calculated formation energy, meV/atom: 1595
# Calculated density, g cm⁻³: 2.20
# Magnetization, μB/f.u.: 4.769
# Uncorrected energy, eV per atom: -26.2878
data_CsK2SrHf
_space_group_name_H-M_alt 'P 4/m m m'
_space_group_IT_number 123
_space_group_name_Hall '-P 4 2'
_cell_length_a 7.0211
_cell_length_b 7.0211
_cell_length_c 7.2917
_cell_angle_alpha 90.00
_cell_angle_beta 90.00
_cell_angle_gamma 90.00
loop_
_atom_site_label
_atom_site_fract_x
_atom_site_fract_y
_atom_site_fract_z
Cs1 0.0000 0.0000 0.0000
K1 0.0000 0.5000 0.5000
Sr1 0.0000 0.0000 0.5000
Hf1 0.5000 0.5000 0.0000

***

# ZrAg2Pb (meta-GGA SCAN, single point on PBEsol structure)
# Calculated formation energy, meV/atom: -37
# Calculated density, g cm⁻³: 10.45
# Magnetization, μB/f.u.: 0.000
# Uncorrected energy, eV per atom: -42.3402
data_ZrAg2Pb
_space_group_name_H-M_alt 'P 1 2/m 1'
_space_group_IT_number 10
_space_group_name_Hall '-P 2y'
_cell_length_a 3.0484
_cell_length_b 4.7769
_cell_length_c 5.6283
_cell_angle_alpha 90.00
_cell_angle_beta 94.26
_cell_angle_gamma 90.00
loop_
_atom_site_label
_atom_site_fract_x
_atom_site_fract_y
_atom_site_fract_z
Zr1 0.0000 0.0000 0.0000
Ag1 0.4336 0.5000 0.7652
Pb1 0.5000 0.0000 0.5000

***

# Cs2BeTcAu (meta-GGA SCAN, single point on PBEsol structure)
# Calculated formation energy, meV/atom: 1007
# Calculated density, g cm⁻³: 6.69
# Magnetization, μB/f.u.: 1.231
# Uncorrected energy, eV per atom: -35.8312
data_Cs2BeTcAu
_space_group_name_H-M_alt 'P 4/m m m'
_space_group_IT_number 123
_space_group_name_Hall '-P 4 2'
_cell_length_a 5.7182
_cell_length_b 5.7182
_cell_length_c 4.3237
_cell_angle_alpha 90.00
_cell_angle_beta 90.00
_cell_angle_gamma 90.00
loop_
_atom_site_label
_atom_site_fract_x
_atom_site_fract_y
_atom_site_fract_z
Cs1 0.0000 0.5000 0.0000
Be1 0.0000 0.0000 0.5000
Tc1 0.0000 0.0000 0.0000
Au1 0.5000 0.5000 0.5000